[1]
# Ba2SrPb (PBEsol, relaxed)
# Raw total energy: -2.69 eV/atom
# Calculated density: 4.8 g/cm³
# Total magnetization: 0.00 μB/atom
data_Ba2SrPb
_chemical_formula_sum 'Ba6 Sr3 Pb3'
_cell_length_a 4.2568
_cell_length_b 4.2568
_cell_length_c 37.3957
_cell_angle_alpha 90.00
_cell_angle_beta 90.00
_cell_angle_gamma 120.00
_symmetry_space_group_name_H-M 'R -3 m'
_symmetry_Int_Tables_number 166
_symmetry_space_group_name_Hall '-R 3 2"'
loop_
_atom_site_label
_atom_site_fract_x
_atom_site_fract_y
_atom_site_fract_z
Ba1 0.0000 0.0000 0.2341
Sr1 0.0000 0.0000 0.0000
Pb1 0.0000 0.0000 0.5000

---

[2]
# Ba4SrPb (PBEsol, relaxed)
# Raw total energy: -2.26 eV/atom
# Calculated density: 5.0 g/cm³
# Total magnetization: 0.00 μB/atom
data_Ba4SrPb
_chemical_formula_sum 'Ba16 Sr4 Pb4'
_cell_length_a 10.409
_cell_length_b 10.409
_cell_length_c 10.409
_cell_angle_alpha 90.00
_cell_angle_beta 90.00
_cell_angle_gamma 90.00
_symmetry_space_group_name_H-M 'F -4 3 m'
_symmetry_Int_Tables_number 216
_symmetry_space_group_name_Hall 'F -4 2 3'
loop_
_atom_site_label
_atom_site_fract_x
_atom_site_fract_y
_atom_site_fract_z
Ba1 0.123 0.123 0.377
Sr1 0.000 0.000 0.000
Pb1 0.250 0.250 0.750